Record 1
A plane-wave DFT calculation with PBE was carried out for a relaxed Gd4Ho2N crystal.

The structure in POSCAR format:
```
Gd4Ho2N
1.0
4.846 0.000 0.000
0.000 4.846 0.000
2.423 2.423 8.758
Gd Ho N
4 2 1
Direct
0.866 0.866 0.269
0.134 0.134 0.731
0.000 0.500 0.000
0.500 0.000 0.000
0.667 0.667 0.665
0.333 0.333 0.335
0.000 0.000 0.000
```

SG: I4/mmm
Energy relative to the elements, uncorrected: -0.238 eV per atom

Record 2
A plane-wave DFT calculation with PBE was carried out for a relaxed Gd2HoN crystal.

The structure in POSCAR format:
```
Gd2HoN
1.0
-1.886 2.116 -2.045
-3.241 0.909 0.942
1.746 8.547 4.247
Gd Ho N
2 1 1
Direct
0.119 0.119 0.642
0.881 0.881 0.358
0.000 0.000 0.000
0.500 0.500 0.500
```

SG: R-3m
Energy relative to the elements, uncorrected: -0.639 eV per atom

Record 3
A plane-wave DFT calculation with PBE was carried out for a relaxed NaGd2Ho crystal.

The structure in POSCAR format:
```
NaGd2Ho
1.0
3.515 0.000 0.000
1.757 3.044 0.000
1.757 1.015 12.650
Na Gd Ho
1 2 1
Direct
0.000 0.000 0.000
0.092 0.092 0.723
0.908 0.908 0.277
0.500 0.500 0.500
```

SG: R-3m
Energy above the most stable polymorph in this dataset: 0.0337 eV per atom
Energy of formation: 0.59 eV/f.u.

Record 4
A plane-wave DFT calculation with PBE was carried out for a relaxed NaGd2Ho crystal.

The structure in POSCAR format:
```
NaGd2Ho
1.0
3.505 0.000 0.000
0.000 3.505 0.000
0.000 0.000 10.739
Na Gd Ho
1 2 1
Direct
0.500 0.500 0.500
0.000 0.000 0.769
0.000 0.000 0.231
0.500 0.500 0.000
```

SG: P4/mmm
Energy above the most stable polymorph in this dataset: 0.0000 eV per atom
Energy of formation: 0.45 eV/f.u.